# Nd2DyInC (PBE, relaxed)
data_Nd2DyInC
_cell_length_a 5.136
_cell_length_b 5.136
_cell_length_c 4.934
_cell_angle_alpha 90.00
_cell_angle_beta 90.00
_cell_angle_gamma 90.00
_space_group_name_H-M_alt 'P 4/m m m'
_space_group_IT_number 123
_space_group_name_Hall '-P 4 2'
loop_
_atom_site_label
_atom_site_type_symbol
_atom_site_fract_x
_atom_site_fract_y
_atom_site_fract_z
_atom_site_occupancy
Nd1 Nd 0.000 0.500 0.000 1
Dy1 Dy 0.000 0.000 0.500 1
In1 In 0.500 0.500 0.500 1
C1 C 0.000 0.000 0.000 1
# E_form (eV per formula unit): -1.9